Here is an optimized crystal structure of KCoPH2O5 from Alexandria. Energies are from PBE with a Hubbard U.

Output
Electronic total energy   -120.18 eV for the cell shown
Total moment   0.301 μB/atom
D(E_F)   0.0 states/eV per cell
Space-group type   Pmn2_1, No. 31
ρ   3.07 g/cm³

a = 5.651 Å, b = 8.375 Å, c = 4.825 Å
α = 90.00°, β = 90.00°, γ = 90.00°
Sites, in units of the cell vectors:
K: 0.000 0.039 0.000
K: 0.500 0.961 0.500
Co: 0.000 0.479 0.119
Co: 0.500 0.521 0.619
P: 0.000 0.710 0.548
P: 0.500 0.290 0.048
H: 0.139 0.310 0.548
H: 0.361 0.690 0.048
H: 0.639 0.690 0.048
H: 0.861 0.310 0.548
O: 0.000 0.293 0.428
O: 0.000 0.677 0.862
O: 0.000 0.890 0.493
O: 0.220 0.627 0.402
O: 0.280 0.373 0.902
O: 0.500 0.110 0.993
O: 0.500 0.323 0.362
O: 0.500 0.707 0.928
O: 0.720 0.373 0.902
O: 0.780 0.627 0.402